The following is a GGA-PBE calculation of a geometry-optimized TcPdPt2 structure, from Alexandria.

Calculated values
Formation enthalpy at 0 K = 0.04 eV/atom
Symmetry = P4/mmm

Lattice parameters (Å, degrees): 3.958 3.941 3.941 90.00 90.00 90.00
Each line ends with the local moment (μB).
Positions (direct):
1 Tc 0.500 0.000 0.000  1.45
2 Pd 0.500 0.500 0.500  0.15
3 Pt 0.000 0.500 0.000  0.16
4 Pt 0.000 0.000 0.500  0.16


The following is a GGA-PBE calculation of a geometry-optimized Re3SnBr structure, from Alexandria.

Calculated values
E_form (uncorrected) = 15.38 eV per formula unit
Symmetry = Pm-3m

Lattice parameters (Å, degrees): 4.988 4.988 4.988 90.00 90.00 90.00
Each line ends with the local moment (μB).
Positions (direct):
1 Re 0.000 0.000 0.500  1.35
2 Sn 0.000 0.000 0.000  -0.04
3 Re 0.000 0.500 0.000  1.36
4 Re 0.500 0.000 0.000  1.25
5 Br 0.500 0.500 0.500  0.13


The following is a GGA-PBE calculation of a geometry-optimized LiTaBe2 structure, from Alexandria.

Calculated values
Formation enthalpy at 0 K = 0.54 eV/atom
Symmetry = Immm

Lattice parameters (Å, degrees): 4.895 4.895 4.895 146.96 129.47 61.71
Positions (direct):
1 Li 0.750 0.250 0.500
2 Be 0.517 0.517 0.000
3 Be 0.983 0.983 0.000
4 Ta 0.250 0.750 0.500


The following is a GGA-PBE calculation of a geometry-optimized Mg3ZnBr structure, from Alexandria.

Calculated values
E_form (uncorrected) = -0.41 eV per formula unit
Symmetry = Pm-3m

Lattice parameters (Å, degrees): 5.147 5.147 5.147 90.00 90.00 90.00
Positions (direct):
1 Mg 0.500 0.000 0.000
2 Zn 0.000 0.000 0.000
3 Br 0.500 0.500 0.500
4 Mg 0.000 0.500 0.000
5 Mg 0.000 0.000 0.500


Size of the total moment? In order: 2.028; 4.676; 0.000; 0.000 μB/f.u..
Raw total energy? In order: -27.50; -27.64; -19.08; -8.14 eV for the cell shown.
Polymorph energy (0 for the lowest one)? In order: 213.5; 793.8; 403.6; 0.0 meV/atom.